Compound: ScCoCl2O
Source: Alexandria via LeMat-Bulk
Functional: PBE with a Hubbard U
Structure: relaxed

The structure in POSCAR format:
```
ScCoCl2O
1.0
4.781 0.000 0.000
0.000 4.781 0.000
0.000 0.000 5.746
Sc Co Cl O
1 1 2 1
Direct
0.000 0.000 0.000
0.000 0.000 0.500
0.000 0.500 0.000
0.500 0.000 0.000
0.500 0.500 0.500
```

Computed properties:
space group	P4/mmm, No. 123
electronic total energy	-20.06	eV/cell